Entry 1:
This record from Alexandria describes a relaxed structure of Cd2GaH. The functional is GGA-PBE.

Cell lengths 5.225, 5.225, 7.055 Å; angles 68.27, 68.27, 90.00 degrees
Element x y z (fractional)
Ga: 0.750 0.250 0.500
Ga: 0.000 0.000 0.000
Cd: 0.513 0.125 0.250
Cd: 0.875 0.763 0.750
Cd: 0.375 0.487 0.750
Cd: 0.237 0.625 0.250
H: 0.500 0.500 0.000
H: 0.250 0.750 0.500

Magnetization in Bohr magnetons per cell: 0.0
Space group: I-42d, No. 122
Energy relative to the lowest polymorph listed for this composition in eV per atom: 0.000

=====

Entry 2:
This record from Alexandria describes a relaxed structure of Pu2PtN. The functional is GGA-PBE.

Cell lengths 3.575, 3.575, 7.143 Å; angles 75.51, 75.51, 60.00 degrees
Each line ends with the local moment (μB).
Element x y z (fractional)
Pt: 0.669 0.669 0.994  0.01
N: 0.498 0.498 0.505  0.00
Pu: 0.232 0.232 0.305  4.81
Pu: 0.101 0.101 0.696  -4.71

E_form (uncorrected) in eV per formula unit: -2.56
Magnetization in Bohr magnetons per cell: 0.1
Space group: R3m, No. 160
Energy relative to the lowest polymorph listed for this composition in eV per atom: 0.000

=====

Entry 3:
This record from Alexandria describes a relaxed structure of TlFe2Pt. The functional is GGA-PBE.

Cell lengths 3.979, 3.979, 3.960 Å; angles 90.00, 90.00, 90.00 degrees
Each line ends with the local moment (μB).
Element x y z (fractional)
Fe: 0.500 0.500 0.000  2.73
Fe: 0.000 0.000 0.000  2.73
Tl: 0.000 0.500 0.500  -0.08
Pt: 0.500 0.000 0.500  0.06

Magnetization in Bohr magnetons per cell: 5.4
Calculated formation energy in eV/atom: 0.227
Space group: P4/mmm, No. 123
Energy relative to the lowest polymorph listed for this composition in eV per atom: 0.038

=====

Entry 4:
This record from Alexandria describes a relaxed structure of EuLuMgPd. The functional is GGA-PBE.

Cell lengths 5.174, 5.174, 5.174 Å; angles 60.00, 60.00, 60.00 degrees
Each line ends with the local moment (μB).
Element x y z (fractional)
Eu: 0.750 0.750 0.750  -6.78
Mg: 0.500 0.500 0.500  0.00
Pd: 0.000 0.000 0.000  0.02
Lu: 0.250 0.250 0.250  -0.01

Magnetization in Bohr magnetons per cell: 7.0
Calculated formation energy in eV/atom: -0.321
Space group: F-43m, No. 216

=====

Entry 5:
This record from Alexandria describes a relaxed structure of Ce2ThH. The functional is GGA-PBE.

Cell lengths 3.503, 3.503, 8.844 Å; angles 78.58, 78.58, 60.00 degrees
Each line ends with the local moment (μB).
Element x y z (fractional)
Ce: 0.725 0.725 0.826  0.41
Ce: 0.275 0.275 0.174  0.41
H: 0.000 0.000 0.000  0.00
Th: 0.500 0.500 0.500  -0.01

Magnetization in Bohr magnetons per cell: 1.0
Space group: R-3m, No. 166
Energy relative to the lowest polymorph listed for this composition in eV per atom: 0.000

=====

Entry 6:
This record from Alexandria describes a relaxed structure of Ba2PPb. The functional is GGA-PBE.

Cell lengths 4.898, 4.898, 6.839 Å; angles 90.00, 90.00, 90.00 degrees
Element x y z (fractional)
Ba: 0.000 0.000 0.875
Ba: 0.500 0.500 0.375
Pb: 0.500 0.500 0.875
P: 0.000 0.000 0.375

Magnetization in Bohr magnetons per cell: 0.0
Calculated formation energy in eV/atom: -0.301
Space group: P4mm, No. 99
Energy relative to the lowest polymorph listed for this composition in eV per atom: 0.321

=====

Q: Number 6 is which compound?
A: Ba2PPb

=====

Q: magnetization of number 3 (TlFe2Pt)?
A: 5.4 Bohr magnetons per cell

=====

Q: magnetization of number 4 (EuLuMgPd)?
A: 7.0 Bohr magnetons per cell